This record from the Alexandria database describes crystalline Ca2Ac7Pr2 at its relaxed geometry. The functional is PBE-GGA.

Computed properties:
Crystal system ... orthorhombic
Space group ... Cmmm
Energy of formation from the pure elements ... 0.2630 eV per atom

Cell: 7.513 7.513 10.373 Å, 90.00 90.00 121.76°
Positions (direct):
1 Ca 0.244 0.244 0.000
2 Ca 0.756 0.756 0.000
3 Ac 0.000 0.000 0.500
4 Ac 0.000 0.500 0.190
5 Ac 0.000 0.500 0.810
6 Ac 0.500 0.000 0.190
7 Ac 0.500 0.000 0.810
8 Ac 0.500 0.500 0.324
9 Ac 0.500 0.500 0.676
10 Pr 0.269 0.731 0.500
11 Pr 0.731 0.269 0.500